1.
First-principles (PBE-GGA) data for an optimized crystal structure of MgNi2P, as listed in the Alexandria database. Values from VASP.

Cell and atoms, written as Quantum ESPRESSO input:
```
&SYSTEM
  ibrav = 0, nat = 4, ntyp = 3
/
ATOMIC_SPECIES
Mg 24.30 Mg.upf
Ni 58.69 Ni.upf
P 30.97 P.upf
CELL_PARAMETERS angstrom
-2.6744 -2.9098 -0.2257
2.0769 -1.9794 0.9083
-0.1281 -0.2461 4.6910
ATOMIC_POSITIONS crystal
Mg 0.5000 0.7013 0.7259
Ni 0.0000 0.0327 0.0579
Ni 0.5000 0.4314 0.2596
P 0.0000 0.3346 0.4566
```

Values from the calculation:
E_form: -0.298 eV per atom

=====

2.
First-principles (PBE-GGA) data for an optimized crystal structure of MgNi2P, as listed in the Alexandria database. Values from VASP.

Cell and atoms, written as Quantum ESPRESSO input:
```
&SYSTEM
  ibrav = 0, nat = 8, ntyp = 3
/
ATOMIC_SPECIES
Ni 58.69 Ni.upf
Mg 24.30 Mg.upf
P 30.97 P.upf
CELL_PARAMETERS angstrom
3.9651 0.0000 0.0000
0.0000 3.9651 0.0000
1.9826 1.9826 7.6834
ATOMIC_POSITIONS crystal
Ni 0.7211 0.1250 0.2500
Ni 0.0289 0.6250 0.2500
Ni 0.3750 0.2789 0.7500
Ni 0.8750 0.9711 0.7500
Mg 0.5000 0.5000 0.0000
Mg 0.2500 0.7500 0.5000
P 0.0000 0.0000 0.0000
P 0.7500 0.2500 0.5000
```

Values from the calculation:
E_form: -0.116 eV per atom

=====

> Number 2 is which compound?

MgNi2P